This record from Alexandria via LeMat-Bulk describes crystalline Na2NiSeO4 at its relaxed geometry. The functional is PBE with a Hubbard U.

Total moment in μB/f.u.: 2.03
SG: Imma, No. 74
Calculated total energy in eV/atom: -4.6408

Lattice parameters (Å, degrees): 6.3385 6.3385 6.3385 120.10 119.35 90.47
Fractional coordinates of all 16 atoms:
1 Na 0.0000 0.0000 0.0000
2 Na 0.5000 0.0000 0.0000
3 Na 0.5000 0.0000 0.5000
4 Na 0.5000 0.5000 0.5000
5 Ni 0.0000 0.5000 0.5000
6 Ni 0.5000 0.5000 0.0000
7 Se 0.0000 0.0000 0.5000
8 Se 0.0000 0.5000 0.0000
9 O 0.2156 0.7402 0.4755
10 O 0.2292 0.2544 0.5252
11 O 0.2292 0.7040 0.9748
12 O 0.2353 0.2598 0.9755
13 O 0.7647 0.7402 0.0245
14 O 0.7708 0.2960 0.0252
15 O 0.7708 0.7456 0.4748
16 O 0.7844 0.2598 0.5245